# Cd2NiF6

Cd2NiF6 after structural relaxation (GGA+U, the Alexandria database).

The structure belongs to space group P4_2/mnm (No. 136); the cell edges are 5.041, 5.041 and 10.200 Å and the angles 90.00°, 90.00° and 90.00°. The distinct sites, in fractional coordinates, are Cd at (0.000, 0.000, 0.166), Ni at (0.000, 0.000, 0.500), F at (0.186, 0.186, 0.347) and F at (0.214, 0.214, 0.000).

The value obtained for the density is 5.092 g/cm3. The calculation puts the density of states at the Fermi level at 0.00 states/eV per atom. For the total DFT energy (no corrections), the calculation gives -70.5 eV/cell.